Density functional theory data (PBE-GGA) for a relaxed Li14AgAu crystal.

Values from the calculation:
Formation energy from the elements ... -0.130 eV per atom
ρ ... 2.32 g/cm3
D(E_F) ... 5.6 states/eV per cell

POSCAR file:
```
Li14AgAu
1.0
-4.6835 2.8089 -2.5129
-3.2680 -1.1036 4.9236
2.4400 6.9011 3.1664
Li Ag Au
14 1 1
Direct
0.3786 0.1286 0.7265
0.8714 0.6214 0.7265
0.8714 0.6214 0.2735
0.1257 0.8743 0.0000
0.3779 0.6221 0.7267
0.3779 0.6221 0.2733
0.8719 0.1281 0.2733
0.8719 0.1281 0.7267
0.6247 0.8753 0.5000
0.6248 0.3752 0.0000
0.1248 0.3742 0.0000
0.3786 0.1286 0.2735
0.1247 0.3753 0.5000
0.6258 0.8752 0.0000
0.1251 0.8749 0.5000
0.6247 0.3753 0.5000
```